No. 1
Here is a geometry-optimized LaNd2Ge2 structure from the Alexandria database. Energies are from PBE.

Properties
V: 27.52 A^3/atom
E above lowest polymorph: 0.0 meV/atom

```
data_LaNd2Ge2
_cell_length_a 7.986
_cell_length_b 7.986
_cell_length_c 4.315
_cell_angle_alpha 90.00
_cell_angle_beta 90.00
_cell_angle_gamma 90.00
_space_group_name_H-M_alt 'P 4/m b m'
_space_group_IT_number 127
_space_group_name_Hall '-P 4 2ab'
loop_
_atom_site_label
_atom_site_fract_x
_atom_site_fract_y
_atom_site_fract_z
_atom_site_occupancy
La1 0.000 0.000 0.000 1
Nd1 0.173 0.327 0.500 1
Ge1 0.119 0.619 0.000 1
```

***

No. 2
Here is a geometry-optimized VGaAu structure from the Alexandria database. Energies are from PBE.

Properties
V: 15.82 A^3/atom
final energy: -5.2922 eV per atom

```
data_VGaAu
_cell_length_a 13.125
_cell_length_b 3.606
_cell_length_c 4.031
_cell_angle_alpha 90.00
_cell_angle_beta 95.61
_cell_angle_gamma 90.00
_space_group_name_H-M_alt 'C 1 2/m 1'
_space_group_IT_number 12
loop_
_space_group_symop_operation_xyz
'x,y,z'
'-x,-y,-z'
'-x,y,-z'
'x,-y,z'
'x+1/2,y+1/2,z'
'-x+1/2,-y+1/2,-z'
'-x+1/2,y+1/2,-z'
'x+1/2,-y+1/2,z'
loop_
_atom_site_label
_atom_site_fract_x
_atom_site_fract_y
_atom_site_fract_z
_atom_site_occupancy
V1 0.000 0.000 0.000 1
V2 0.000 0.500 0.500 1
Ga1 0.152 0.000 0.559 1
Au1 0.164 0.500 0.072 1
```

***

No. 3
Here is a geometry-optimized MnAlZn2H structure from the Alexandria database. Energies are from PBE.

Properties
V: 22.07 A^3/atom
final energy: -2.7792 eV per atom

```
data_MnAlZn2H
_cell_length_a 4.791
_cell_length_b 4.791
_cell_length_c 4.809
_cell_angle_alpha 90.00
_cell_angle_beta 90.00
_cell_angle_gamma 90.00
_space_group_name_H-M_alt 'P 4/m m m'
_space_group_IT_number 123
_space_group_name_Hall '-P 4 2'
loop_
_atom_site_label
_atom_site_fract_x
_atom_site_fract_y
_atom_site_fract_z
_atom_site_occupancy
Mn1 0.000 0.000 0.000 1
Al1 0.000 0.000 0.500 1
Zn1 0.000 0.500 0.000 1
H1 0.500 0.500 0.500 1
```

***

No. 4
Here is a geometry-optimized LiLa2Re structure from the Alexandria database. Energies are from PBE.

Properties
V: 24.33 A^3/atom
final energy: -5.7428 eV per atom

```
data_LiLa2Re
_cell_length_a 5.112
_cell_length_b 5.112
_cell_length_c 3.724
_cell_angle_alpha 90.00
_cell_angle_beta 90.00
_cell_angle_gamma 90.00
_space_group_name_H-M_alt 'P 4/m m m'
_space_group_IT_number 123
_space_group_name_Hall '-P 4 2'
loop_
_atom_site_label
_atom_site_fract_x
_atom_site_fract_y
_atom_site_fract_z
_atom_site_occupancy
Li1 0.000 0.000 0.000 1
La1 0.000 0.500 0.500 1
Re1 0.500 0.500 0.000 1
```

***

No. 5
Here is a geometry-optimized CaPdW structure from the Alexandria database. Energies are from PBE.

Properties
V: 19.93 A^3/atom
E above lowest polymorph: 85.5 meV/atom

```
data_CaPdW
_cell_length_a 5.084
_cell_length_b 5.837
_cell_length_c 8.058
_cell_angle_alpha 90.00
_cell_angle_beta 90.00
_cell_angle_gamma 90.00
_space_group_name_H-M_alt 'I m m a'
_space_group_IT_number 74
_space_group_name_Hall '-I 2b 2'
loop_
_atom_site_label
_atom_site_fract_x
_atom_site_fract_y
_atom_site_fract_z
_atom_site_occupancy
Ca1 0.000 0.250 0.122 1
Pd1 0.000 0.000 0.500 1
W1 0.250 0.250 0.750 1
```

***

No. 6
Here is a geometry-optimized PmSm2ErTl2 structure from the Alexandria database. Energies are from PBE.

Properties
V: 30.16 A^3/atom
final energy: -4.1839 eV per atom

```
data_PmSm2ErTl2
_cell_length_a 5.168
_cell_length_b 10.136
_cell_length_c 6.910
_cell_angle_alpha 90.00
_cell_angle_beta 90.00
_cell_angle_gamma 90.00
_space_group_name_H-M_alt 'P m c 21'
_space_group_IT_number 26
loop_
_space_group_symop_operation_xyz
'x,y,z'
'-x,-y,z+1/2'
'-x,y,z'
'x,-y,z+1/2'
loop_
_atom_site_label
_atom_site_fract_x
_atom_site_fract_y
_atom_site_fract_z
_atom_site_occupancy
Pm1 0.000 0.044 0.000 1
Sm1 0.000 0.317 0.372 1
Sm2 0.500 0.455 0.092 1
Er1 0.500 0.188 0.718 1
Tl1 0.000 0.359 0.836 1
Tl2 0.500 0.129 0.262 1
```

***

No. 7
Here is a geometry-optimized Mg2H3Ir structure from the Alexandria database. Energies are from PBE.

Properties
V: 11.82 A^3/atom
E above lowest polymorph: 105.6 meV/atom

```
data_Mg2H3Ir
_cell_length_a 6.206
_cell_length_b 9.284
_cell_length_c 9.845
_cell_angle_alpha 90.00
_cell_angle_beta 90.00
_cell_angle_gamma 90.00
_space_group_name_H-M_alt 'F m m m'
_space_group_IT_number 69
_space_group_name_Hall '-F 2 2'
loop_
_atom_site_label
_atom_site_fract_x
_atom_site_fract_y
_atom_site_fract_z
_atom_site_occupancy
Mg1 0.233 0.000 0.000 1
Mg2 0.250 0.250 0.250 1
H1 0.000 0.000 0.402 1
H2 0.000 0.136 0.119 1
Ir1 0.000 0.000 0.235 1
```

***

No. 8
Here is a geometry-optimized LaHoAu structure from the Alexandria database. Energies are from PBE.

Properties
V: 29.06 A^3/atom
E above lowest polymorph: 169.2 meV/atom

```
data_LaHoAu
_cell_length_a 4.9532
_cell_length_b 4.9532
_cell_length_c 4.1029
_cell_angle_alpha 90.00
_cell_angle_beta 90.00
_cell_angle_gamma 120.00
_space_group_name_H-M_alt 'P 3 m 1'
_space_group_IT_number 156
loop_
_space_group_symop_operation_xyz
'x,y,z'
'-y,x-y,z'
'-x+y,-x,z'
'-y,-x,z'
'-x+y,y,z'
'x,x-y,z'
loop_
_atom_site_label
_atom_site_fract_x
_atom_site_fract_y
_atom_site_fract_z
_atom_site_occupancy
La1 0.0000 0.0000 0.0000 1
Ho1 0.3333 0.6667 0.4927 1
Au1 0.6667 0.3333 0.5487 1
```

***

| no. | ρ (Mg/m³) |
| --- | --- |
| 1 | 6.91 |
| 2 | 11.11 |
| 3 | 3.22 |
| 4 | 8.04 |
| 5 | 9.17 |
| 6 | 9.38 |
| 7 | 5.71 |
| 8 | 9.54 |